Computed, not measured: Rb2TlV2O7 after structural relaxation at the PBE with a Hubbard U level of DFT.

The structure in POSCAR format:
```
Rb2TlV2O7
1.0
-0.618 6.058 -1.493
-5.557 2.215 -1.877
-3.876 4.366 6.153
V O Rb Tl
2 7 2 1
direct
0.921 0.921 0.237
0.079 0.079 0.763
0.806 0.250 0.687
0.194 0.743 0.313
0.750 0.194 0.313
0.257 0.806 0.687
0.743 0.750 0.313
0.000 0.000 0.000
0.250 0.257 0.687
0.236 0.236 0.293
0.764 0.764 0.707
0.500 0.500 0.500
```

Fermi-level density of states = 3.660 states/eV/f.u.
Space-group type = R32, No. 155
Calculated total energy = -0.227 hartree per atom
Density = 3.75 Mg/m³